No. 1
Na2ZnH4Se2O10 after structural relaxation, computed with GGA-PBE.

```
Na2ZnH4Se2O10
1.0
5.659 -0.026 0.016
-1.828 5.756 -0.012
-1.122 -2.831 6.655
O Se Na H Zn
10 2 2 4 1
direct
0.278 0.352 0.631 O
0.929 0.037 0.730 O
0.913 0.340 0.130 O
0.071 0.963 0.270 O
0.350 0.818 0.615 O
0.650 0.182 0.385 O
0.397 0.235 0.053 O
0.087 0.660 0.870 O
0.722 0.648 0.369 O
0.603 0.765 0.947 O
0.330 0.658 0.761 Se
0.670 0.342 0.239 Se
0.343 0.723 0.250 Na
0.657 0.277 0.750 Na
0.079 0.153 0.705 H
0.141 0.126 0.389 H
0.859 0.874 0.611 H
0.921 0.847 0.295 H
0.000 0.000 0.000 Zn
```

Results
Its space-group type is P-1 (2). The value obtained for the raw total energy is -95.3 eV for the cell shown.



No. 2
KTiC2S after structural relaxation, computed with GGA-PBE.

```
KTiC2S
1.0
4.308 0.000 0.000
0.000 8.349 0.000
0.000 0.000 4.308
Ti S K C
1 1 1 2
direct
0.000 0.500 0.000 Ti
0.500 0.500 0.500 S
0.000 0.000 0.000 K
0.500 0.000 0.000 C
0.000 0.000 0.500 C
```

Results
Its space-group type is P4/mmm (123). The uncorrected formation energy comes out at 3.23 eV per atom. The value obtained for the raw total energy is -15.4 eV for the cell shown.



No. 3
MoPRu after structural relaxation, computed with GGA-PBE.

```
MoPRu
1.0
4.124 0.000 0.000
-2.062 3.571 0.000
0.000 0.000 2.816
Ru P Mo
1 1 1
direct
0.333 0.667 0.500 Ru
0.667 0.333 0.500 P
0.000 0.000 0.000 Mo
```

Results
Its space-group type is P-6m2 (187). The value obtained for the energy of formation is -0.28 eV/atom. Its energy above the most stable polymorph in this dataset is 0.252 eV per atom. The value obtained for the raw total energy is -26.4 eV for the cell shown.



No. 4
PH5Cl4 after structural relaxation, computed with GGA-PBE.

```
PH5Cl4
1.0
5.149 0.000 0.000
2.575 7.161 0.000
2.575 0.000 7.161
Cl H P
4 5 1
direct
0.502 0.461 0.836 Cl
0.798 0.539 0.164 Cl
0.338 0.164 0.461 Cl
0.962 0.836 0.539 Cl
0.574 0.042 0.485 H
0.059 0.515 0.042 H
0.420 0.000 0.000 H
0.616 0.485 0.958 H
0.101 0.958 0.515 H
0.141 0.000 0.000 P
```

Results
Its space-group type is I4 (79). The value obtained for the raw total energy is -31.3 eV for the cell shown.